[1]
# Pr2HoZn3AgAu2 PBE-GGA relaxed
# calculated volume	401.8	Å³/cell
# E	-0.26247	Ry per atom
data_Pr2HoZn3AgAu2
_symmetry_space_group_name_H-M 'A m m 2'
_symmetry_Int_Tables_number 38
_cell_length_a 3.936
_cell_length_b 13.255
_cell_length_c 7.702
_cell_angle_alpha 90.00
_cell_angle_beta 90.00
_cell_angle_gamma 90.00
loop_
_symmetry_equiv_pos_as_xyz
'x,y,z'
'-x,-y,z'
'-x,y,z'
'x,-y,z'
'x,y+1/2,z+1/2'
'-x,-y+1/2,z+1/2'
'-x,y+1/2,z+1/2'
'x,-y+1/2,z+1/2'
loop_
_atom_site_label
_atom_site_fract_x
_atom_site_fract_y
_atom_site_fract_z
Pr1 0.000 0.204 0.000
Ho1 0.000 0.000 0.389
Zn1 0.500 0.000 0.054
Zn2 0.500 0.125 0.665
Ag1 0.000 0.000 0.789
Au1 0.500 0.160 0.300

[2]
# Li4CuGePd2 PBE-GGA relaxed
# calculated volume	110.0	Å³/cell
# E	-0.27281	Ry per atom
data_Li4CuGePd2
_symmetry_space_group_name_H-M 'P -4 m 2'
_symmetry_Int_Tables_number 115
_cell_length_a 4.319
_cell_length_b 4.319
_cell_length_c 5.896
_cell_angle_alpha 90.00
_cell_angle_beta 90.00
_cell_angle_gamma 90.00
loop_
_symmetry_equiv_pos_as_xyz
'x,y,z'
'y,-x,-z'
'-x,-y,z'
'-y,x,-z'
'-x,y,z'
'-y,-x,-z'
'x,-y,z'
'y,x,-z'
loop_
_atom_site_label
_atom_site_fract_x
_atom_site_fract_y
_atom_site_fract_z
Li1 0.000 0.000 0.000
Li2 0.000 0.500 0.241
Li3 0.500 0.500 0.500
Cu1 0.500 0.500 0.000
Ge1 0.000 0.000 0.500
Pd1 0.000 0.500 0.735

[3]
# PaReSi PBE-GGA relaxed
# calculated volume	268.0	Å³/cell
# E	-0.60801	Ry per atom
data_PaReSi
_symmetry_space_group_name_H-M 'F -4 3 m'
_symmetry_Int_Tables_number 216
_symmetry_space_group_name_Hall 'F -4 2 3'
_cell_length_a 6.447
_cell_length_b 6.447
_cell_length_c 6.447
_cell_angle_alpha 90.00
_cell_angle_beta 90.00
_cell_angle_gamma 90.00
loop_
_atom_site_label
_atom_site_fract_x
_atom_site_fract_y
_atom_site_fract_z
Pa1 0.000 0.000 0.000
Re1 0.250 0.250 0.750
Si1 0.250 0.250 0.250

[4]
# Dy2YCu4Si2Ge2 PBE-GGA relaxed
# calculated volume	382.4	Å³/cell
# energy above the lowest structure with this stoichiometry	6	meV per atom
# E	-0.38522	Ry per atom
data_Dy2YCu4Si2Ge2
_symmetry_space_group_name_H-M 'I m m m'
_symmetry_Int_Tables_number 71
_symmetry_space_group_name_Hall '-I 2 2'
_cell_length_a 4.188
_cell_length_b 6.599
_cell_length_c 13.836
_cell_angle_alpha 90.00
_cell_angle_beta 90.00
_cell_angle_gamma 90.00
loop_
_atom_site_label
_atom_site_fract_x
_atom_site_fract_y
_atom_site_fract_z
Dy1 0.000 0.000 0.130
Y1 0.000 0.500 0.000
Cu1 0.000 0.190 0.337
Si1 0.000 0.317 0.500
Ge1 0.000 0.500 0.217

[5]
# SmLu2Ag4Ge4 PBE-GGA relaxed
# calculated volume	445.4	Å³/cell
# E	-0.32803	Ry per atom
data_SmLu2Ag4Ge4
_symmetry_space_group_name_H-M 'I m m m'
_symmetry_Int_Tables_number 71
_symmetry_space_group_name_Hall '-I 2 2'
_cell_length_a 4.277
_cell_length_b 7.205
_cell_length_c 14.452
_cell_angle_alpha 90.00
_cell_angle_beta 90.00
_cell_angle_gamma 90.00
loop_
_atom_site_label
_atom_site_fract_x
_atom_site_fract_y
_atom_site_fract_z
Sm1 0.000 0.000 0.000
Lu1 0.000 0.500 0.125
Ag1 0.000 0.302 0.330
Ge1 0.000 0.000 0.220
Ge2 0.000 0.180 0.500

[6]
# GdThB PBE-GGA relaxed
# calculated volume	275.1	Å³/cell
# energy above the lowest structure with this stoichiometry	0	meV per atom
# E	-0.44996	Ry per atom
data_GdThB
_symmetry_space_group_name_H-M 'F -4 3 m'
_symmetry_Int_Tables_number 216
_symmetry_space_group_name_Hall 'F -4 2 3'
_cell_length_a 6.503
_cell_length_b 6.503
_cell_length_c 6.503
_cell_angle_alpha 90.00
_cell_angle_beta 90.00
_cell_angle_gamma 90.00
loop_
_atom_site_label
_atom_site_fract_x
_atom_site_fract_y
_atom_site_fract_z
Gd1 0.000 0.000 0.000
Th1 0.000 0.000 0.500
B1 0.250 0.250 0.250